No. 1
# PBE MgB2Ir, relaxed
data_MgB2Ir
_cell_length_a 5.6345
_cell_length_b 5.6345
_cell_length_c 5.6345
_cell_angle_alpha 90.00
_cell_angle_beta 90.00
_cell_angle_gamma 90.00
_space_group_name_H-M_alt 'F -4 3 m'
_space_group_IT_number 216
_space_group_name_Hall 'F -4 2 3'
loop_
_atom_site_label
_atom_site_fract_x
_atom_site_fract_y
_atom_site_fract_z
Mg1 0.0000 0.0000 0.0000
B1 0.0000 0.0000 0.5000
B2 0.2500 0.2500 0.7500
Ir1 0.2500 0.2500 0.2500
# Crystal system: cubic
# Energy, eV per formula unit: -19.4
# Magnetization, μB/f.u.: 0.008



No. 2
# PBE MgB4Ir, relaxed
data_MgB4Ir
_cell_length_a 5.8790
_cell_length_b 11.2901
_cell_length_c 3.4584
_cell_angle_alpha 90.00
_cell_angle_beta 90.00
_cell_angle_gamma 90.00
_space_group_name_H-M_alt 'P b a m'
_space_group_IT_number 55
_space_group_name_Hall '-P 2 2ab'
loop_
_atom_site_label
_atom_site_fract_x
_atom_site_fract_y
_atom_site_fract_z
Mg1 0.1281 0.1502 0.0000
B1 0.0190 0.6947 0.5000
B2 0.1142 0.5500 0.5000
B3 0.1335 0.9731 0.5000
B4 0.1983 0.8134 0.5000
Ir1 0.1513 0.4030 0.0000
# Crystal system: orthorhombic
# Energy, eV per formula unit: -38.3
# Magnetization, μB/f.u.: 0.001



No. 3
# PBE Mg2BIr, relaxed
data_Mg2BIr
_cell_length_a 5.9767
_cell_length_b 5.9767
_cell_length_c 5.9767
_cell_angle_alpha 90.00
_cell_angle_beta 90.00
_cell_angle_gamma 90.00
_space_group_name_H-M_alt 'F -4 3 m'
_space_group_IT_number 216
_space_group_name_Hall 'F -4 2 3'
loop_
_atom_site_label
_atom_site_fract_x
_atom_site_fract_y
_atom_site_fract_z
Mg1 0.0000 0.0000 0.0000
Mg2 0.2500 0.2500 0.2500
B1 0.0000 0.0000 0.5000
Ir1 0.2500 0.2500 0.7500
# Crystal system: cubic
# Energy, eV per formula unit: -17.5
# Magnetization, μB/f.u.: 0.004



No. 4
# PBE Mg2BIr2, relaxed
data_Mg2BIr2
_cell_length_a 5.7830
_cell_length_b 5.7830
_cell_length_c 4.3530
_cell_angle_alpha 90.00
_cell_angle_beta 90.00
_cell_angle_gamma 90.00
_space_group_name_H-M_alt 'P 4/m b m'
_space_group_IT_number 127
_space_group_name_Hall '-P 4 2ab'
loop_
_atom_site_label
_atom_site_fract_x
_atom_site_fract_y
_atom_site_fract_z
Mg1 0.1638 0.3362 0.0000
B1 0.0000 0.0000 0.5000
Ir1 0.1610 0.6610 0.5000
# Crystal system: tetragonal
# Energy, eV per formula unit: -29.6
# Magnetization, μB/f.u.: 0.008



No. 5
# PBE MgB4Ir, relaxed
data_MgB4Ir
_cell_length_a 3.0716
_cell_length_b 3.0716
_cell_length_c 6.7881
_cell_angle_alpha 90.00
_cell_angle_beta 90.00
_cell_angle_gamma 120.00
_space_group_name_H-M_alt 'P 6/m m m'
_space_group_IT_number 191
_space_group_name_Hall '-P 6 2'
loop_
_atom_site_label
_atom_site_fract_x
_atom_site_fract_y
_atom_site_fract_z
Mg1 0.0000 0.0000 0.0000
B1 0.3333 0.6667 0.2583
Ir1 0.0000 0.0000 0.5000
# Crystal system: hexagonal
# Energy, eV per formula unit: -36.5
# Magnetization, μB/f.u.: 0.007



No. 6
# PBE Mg2BIr2, relaxed
data_Mg2BIr2
_cell_length_a 5.7946
_cell_length_b 8.3995
_cell_length_c 2.9913
_cell_angle_alpha 90.00
_cell_angle_beta 90.00
_cell_angle_gamma 90.00
_space_group_name_H-M_alt 'P b a m'
_space_group_IT_number 55
_space_group_name_Hall '-P 2 2ab'
loop_
_atom_site_label
_atom_site_fract_x
_atom_site_fract_y
_atom_site_fract_z
Mg1 0.0169 0.2149 0.0000
B1 0.0000 0.5000 0.0000
Ir1 0.2458 0.4927 0.5000
# Crystal system: orthorhombic
# Energy, eV per formula unit: -29.9
# Magnetization, μB/f.u.: 0.000